Entry 1:
Material: CaAl4Si2O11
Method: DFT, PBE
State: optimized geometry

electronic total energy = -7.478 eV/atom
magnetization = 0.00 μB per cell

Structure (CIF):
```
data_CaAl4Si2O11
_cell_length_a 5.4804
_cell_length_b 9.4823
_cell_length_c 12.8212
_cell_angle_alpha 90.00
_cell_angle_beta 90.24
_cell_angle_gamma 90.00
_space_group_name_H-M_alt 'C 1 c 1'
_space_group_IT_number 9
loop_
_space_group_symop_operation_xyz
'x,y,z'
'x,-y,z+1/2'
'x+1/2,y+1/2,z'
'x+1/2,-y+1/2,z+1/2'
loop_
_atom_site_label
_atom_site_type_symbol
_atom_site_fract_x
_atom_site_fract_y
_atom_site_fract_z
_atom_site_occupancy
Ca1 Ca 0.0000 0.1660 0.0000 1
Al1 Al 0.0046 0.4971 0.0957 1
Al2 Al 0.2456 0.2491 0.7430 1
Al3 Al 0.4915 0.0031 0.3906 1
Al4 Al 0.4993 0.3326 0.9747 1
Si1 Si 0.2510 0.2516 0.2428 1
Si2 Si 0.4973 0.4980 0.2427 1
O1 O 0.0051 0.1648 0.3222 1
O2 O 0.0107 0.3228 0.1661 1
O3 O 0.2247 0.4220 0.9894 1
O4 O 0.2260 0.0810 0.8221 1
O5 O 0.2331 0.0883 0.1676 1
O6 O 0.2601 0.4129 0.3201 1
O7 O 0.2698 0.4178 0.6654 1
O8 O 0.2710 0.0777 0.4969 1
O9 O 0.4839 0.1771 0.3215 1
O10 O 0.4883 0.3364 0.1684 1
O11 O 0.4975 0.1504 0.9928 1
```

=====

Entry 2:
Material: Pr3InTe
Method: DFT, PBE
State: optimized geometry

E above lowest polymorph = 86.5 meV per atom
magnetization = 0.00 μB per cell

Structure (CIF):
```
data_Pr3InTe
_cell_length_a 8.7798
_cell_length_b 4.5446
_cell_length_c 9.4341
_cell_angle_alpha 90.00
_cell_angle_beta 112.39
_cell_angle_gamma 90.00
_space_group_name_H-M_alt 'P 1 m 1'
_space_group_IT_number 6
loop_
_space_group_symop_operation_xyz
'x,y,z'
'x,-y,z'
loop_
_atom_site_label
_atom_site_type_symbol
_atom_site_fract_x
_atom_site_fract_y
_atom_site_fract_z
_atom_site_occupancy
Pr1 Pr 0.0000 0.0000 0.0000 1
Pr2 Pr 0.0036 0.5000 0.3236 1
Pr3 Pr 0.1687 0.0000 0.6938 1
Pr4 Pr 0.3824 0.0000 0.3442 1
Pr5 Pr 0.5538 0.0000 0.0629 1
Pr6 Pr 0.7770 0.5000 0.6493 1
In1 In 0.2664 0.5000 0.0200 1
In2 In 0.7944 0.0000 0.4197 1
Te1 Te 0.3735 0.5000 0.5831 1
Te2 Te 0.7429 0.5000 0.9763 1
```

=====

Entry 3:
Material: ZrNiAu3
Method: DFT, PBE
State: optimized geometry

E above lowest polymorph = 746.1 meV per atom
formation energy = 572 kJ/mol of formula units
magnetization = 0.36 μB per cell

Structure (CIF):
```
data_ZrNiAu3
_cell_length_a 5.2073
_cell_length_b 5.2073
_cell_length_c 5.2073
_cell_angle_alpha 90.00
_cell_angle_beta 90.00
_cell_angle_gamma 90.00
_space_group_name_H-M_alt 'P m -3 m'
_space_group_IT_number 221
_space_group_name_Hall '-P 4 2 3'
loop_
_atom_site_label
_atom_site_type_symbol
_atom_site_fract_x
_atom_site_fract_y
_atom_site_fract_z
_atom_site_occupancy
Zr1 Zr 0.0000 0.0000 0.0000 1
Ni1 Ni 0.5000 0.5000 0.5000 1
Au1 Au 0.0000 0.0000 0.5000 1
```